Record 1
# Tb3Ce2NdEr6

Tb3Ce2NdEr6 after structural relaxation (GGA-PBE, the Alexandria database).

```
Tb3Ce2NdEr6
1.0
3.0632 -5.3053 0.0000
3.0632 5.3053 0.0000
-2.0423 0.0000 11.4925
Tb Ce Nd Er
3 2 1 6
Direct
0.0000 0.0000 0.0000
0.3338 0.6662 0.0000
0.6662 0.3338 0.0000
0.1667 0.8333 0.5000
0.8333 0.1667 0.5000
0.5000 0.5000 0.5000
0.0803 0.4163 0.2503
0.2477 0.2477 0.7497
0.4163 0.0803 0.2503
0.5837 0.9197 0.7497
0.7523 0.7523 0.2503
0.9197 0.5837 0.7497
```

Computed properties:
ΔE_f	0.0482	eV/atom
space group	C2/m, No. 12
E_tot	-57.32	eV/f.u.
spin magnetization	1.82	μB/f.u.

=====

Record 2
# Tb6Ce2Nd3Er

Tb6Ce2Nd3Er after structural relaxation (GGA-PBE, the Alexandria database).

```
Tb6Ce2Nd3Er
1.0
3.1011 -5.3708 0.0000
3.1011 5.3708 0.0000
-2.0660 0.0000 11.6497
Tb Ce Nd Er
6 2 3 1
Direct
0.0829 0.4181 0.7548
0.2466 0.2466 0.2454
0.4181 0.0829 0.7548
0.5819 0.9171 0.2452
0.7534 0.7534 0.7546
0.9171 0.5819 0.2452
0.1664 0.8336 0.0000
0.8336 0.1664 0.0000
0.0000 0.0000 0.5000
0.3338 0.6662 0.5000
0.6662 0.3338 0.5000
0.5000 0.5000 0.0000
```

Computed properties:
ΔE_f	0.0455	eV/atom
space group	C2/m, No. 12
E_tot	-57.97	eV/f.u.
spin magnetization	1.97	μB/f.u.

=====

Record 3
# Tb6CeNd3Er2

Tb6CeNd3Er2 after structural relaxation (GGA-PBE, the Alexandria database).

```
Tb6CeNd3Er2
1.0
3.1027 -5.3732 0.0000
3.1027 5.3732 0.0000
-2.0689 0.0000 11.6858
Tb Ce Nd Er
6 1 3 2
Direct
0.0821 0.4134 0.2457
0.2494 0.2494 0.7541
0.4134 0.0821 0.2457
0.5866 0.9179 0.7543
0.7506 0.7506 0.2459
0.9179 0.5866 0.7543
0.0000 0.0000 0.0000
0.1675 0.8325 0.5000
0.5000 0.5000 0.5000
0.8325 0.1675 0.5000
0.3333 0.6667 0.0000
0.6667 0.3333 0.0000
```

Computed properties:
ΔE_f	0.0354	eV/atom
space group	C2/m, No. 12
E_tot	-56.72	eV/f.u.
spin magnetization	1.18	μB/f.u.

=====

Record 4
# TbCeNd6Er2

TbCeNd6Er2 after structural relaxation (GGA-PBE, the Alexandria database).

```
TbCeNd6Er2
1.0
5.6367 -3.5343 0.0000
5.6367 3.5343 0.0000
-2.0058 0.0000 8.6306
Tb Ce Nd Er
1 1 6 2
Direct
0.0000 0.0000 0.0000
0.5000 0.5000 0.5000
0.0624 0.5962 0.7022
0.3711 0.3711 0.0804
0.4038 0.9376 0.2978
0.5962 0.0624 0.7022
0.6289 0.6289 0.9196
0.9376 0.4038 0.2978
0.0922 0.0922 0.6617
0.9078 0.9078 0.3383
```

Computed properties:
ΔE_f	0.2378	eV/atom
space group	C2/m, No. 12
E_tot	-45.92	eV/f.u.
spin magnetization	1.23	μB/f.u.

=====

Record 5
# Tb2CeNd6Er

Tb2CeNd6Er after structural relaxation (GGA-PBE, the Alexandria database).

```
Tb2CeNd6Er
1.0
5.6722 -3.5344 0.0000
5.6722 3.5344 0.0000
-2.1424 0.0000 8.6074
Tb Ce Nd Er
2 1 6 1
Direct
0.0908 0.0908 0.1657
0.9092 0.9092 0.8343
0.5000 0.5000 0.0000
0.0609 0.5929 0.2038
0.3755 0.3755 0.5835
0.4071 0.9391 0.7962
0.5929 0.0609 0.2038
0.6245 0.6245 0.4165
0.9391 0.4071 0.7962
0.0000 0.0000 0.5000
```

Computed properties:
ΔE_f	0.2360	eV/atom
space group	C2/m, No. 12
E_tot	-46.00	eV/f.u.
spin magnetization	1.12	μB/f.u.

=====

Record 6
# Tb6CeNd2Er3

Tb6CeNd2Er3 after structural relaxation (GGA-PBE, the Alexandria database).

```
Tb6CeNd2Er3
1.0
3.0898 -5.3522 0.0000
3.0898 5.3522 0.0000
-2.0622 0.0000 11.6333
Tb Ce Nd Er
6 1 2 3
Direct
0.0844 0.4152 0.7531
0.2465 0.2465 0.2465
0.4152 0.0844 0.7531
0.5848 0.9156 0.2469
0.7535 0.7535 0.7535
0.9156 0.5848 0.2469
0.0000 0.0000 0.5000
0.3336 0.6664 0.5000
0.6664 0.3336 0.5000
0.1669 0.8331 0.0000
0.5000 0.5000 0.0000
0.8331 0.1669 0.0000
```

Computed properties:
ΔE_f	0.0398	eV/atom
space group	C2/m, No. 12
E_tot	-56.46	eV/f.u.
spin magnetization	1.01	μB/f.u.

=====

Record 7
# TbCeNd2Er5

TbCeNd2Er5 after structural relaxation (GGA-PBE, the Alexandria database).

```
TbCeNd2Er5
1.0
-4.2891 4.2891 7.7684
4.2891 -4.2891 7.7684
4.2891 4.2891 -7.7684
Tb Ce Nd Er
2 2 4 10
Direct
0.2500 0.2500 0.0000
0.7500 0.7500 0.0000
0.2500 0.7500 0.5000
0.7500 0.2500 0.5000
0.1199 0.6199 0.7398
0.3801 0.1199 0.5000
0.6199 0.8801 0.5000
0.8801 0.3801 0.2602
0.0000 0.0000 0.0000
0.0649 0.1539 0.5000
0.1539 0.6539 0.0891
0.3461 0.4351 0.5000
0.4351 0.9351 0.0891
0.5000 0.5000 0.0000
0.5649 0.0649 0.9109
0.6539 0.5649 0.5000
0.8461 0.3461 0.9109
0.9351 0.8461 0.5000
```

Computed properties:
ΔE_f	0.2718	eV/atom
space group	I4/mcm, No. 140
E_tot	-40.47	eV/f.u.
spin magnetization	0.98	μB/f.u.

=====

Record 8
# Tb2CeNd2Er2

Tb2CeNd2Er2 after structural relaxation (GGA-PBE, the Alexandria database).

```
Tb2CeNd2Er2
1.0
8.7495 -1.7437 0.0000
8.7495 1.7437 0.0000
-3.8267 0.0000 7.5445
Tb Ce Nd Er
2 1 2 2
Direct
0.2132 0.2132 0.2926
0.7868 0.7868 0.7074
0.0000 0.0000 0.0000
0.4312 0.4312 0.6040
0.5688 0.5688 0.3960
0.3521 0.3521 0.1079
0.6479 0.6479 0.8921
```

Computed properties:
ΔE_f	0.1486	eV/atom
space group	C2/m, No. 12
E_tot	-32.82	eV/f.u.
spin magnetization	0.12	μB/f.u.